Dy2Er8In3 (PBE-GGA, optimized geometry); final energy = -52.29 eV/cell; V = 31.08 A^3/atom; D(E_F) = 1.0128 states/eV/atom
1.0
-2.2516 -4.6412 3.6980
2.8979 -1.3837 5.4747
-6.5205 5.6409 8.5564
Er In Dy
8 3 2
Direct
0.7196 0.7196 0.3395 Er
0.7787 0.2804 0.6605 Er
0.2804 0.2804 0.6605 Er
0.2213 0.7196 0.3395 Er
0.2732 0.2732 0.1805 Er
0.2804 0.7787 0.6605 Er
0.7196 0.2213 0.3395 Er
0.7268 0.7268 0.8195 Er
0.1877 0.1877 0.4368 In
0.8123 0.8123 0.5632 In
0.0000 0.0000 0.0000 In
0.3632 0.3632 0.9104 Dy
0.6368 0.6368 0.0896 Dy